Entry 1:
Material: Li3CoNi3O8
Method: DFT, GGA+U
State: relaxed

Cell: 5.7864 5.7864 14.4154 Å, 90.00 90.00 120.00°
With the nearest neighbours (Å) after each atom.
Space group R-3m (No. 166, hexagonal axes)
Inequivalent atoms, fractional coordinates:
Li 0.0000 0.5000 0.0000 (multiplicity 9)  6 O 2.11-2.17
Co 0.0000 0.0000 0.5000 (multiplicity 3)  6 O 1.88
Ni 0.0000 0.5000 0.5000 (multiplicity 9)  6 O 1.96-2.02
O 0.0000 0.0000 0.2378 (multiplicity 6)  3 Ni 1.96, 3 Li 2.17
O 0.0219 0.5109 0.2390 (multiplicity 18)  1 Co 1.88, 2 Ni 2.02

Summary:
For the energy above the most stable polymorph in this dataset, the calculation gives 0.010 eV per atom.

Entry 2:
Material: Li3CoNi4O8
Method: DFT, GGA+U
State: relaxed

Cell: 10.1444 5.8082 5.8189 Å, 90.00 124.96 90.00°
With the nearest neighbours (Å) after each atom.
Space group C2/m (No. 12)
Inequivalent atoms, fractional coordinates:
Li 0.0000 0.0000 0.0000 (multiplicity 2)  6 O 2.16-2.24
Li 0.2500 0.2500 0.0000 (multiplicity 4)  6 O 2.08-2.14
Co 0.0000 0.5000 0.5000 (multiplicity 2)  6 O 1.92-1.95
Ni 0.0000 0.0000 0.5000 (multiplicity 2)  6 O 2.06-2.08
Ni 0.0000 0.5000 0.0000 (multiplicity 2)  6 O 2.06-2.08
Ni 0.2500 0.2500 0.5000 (multiplicity 4)  6 O 1.97-2.08
O 0.9996 0.2632 0.2629 (multiplicity 8)  1 Co 1.95, 3 Ni 2.06-2.08, 2 Li 2.08-2.16
O 0.2306 0.5000 0.7181 (multiplicity 4)  1 Co 1.92, 2 Ni 2.01, 2 Li 2.11
O 0.2497 0.0000 0.7296 (multiplicity 4)  4 Ni 1.97-2.08, 2 Li 2.14

Summary:
Its electronic total energy is -162.03 eV per cell.

Entry 3:
Material: Li4Co3NiO8
Method: DFT, GGA+U
State: relaxed

Cell: 5.7666 5.8293 8.3112 Å, 90.49 90.18 90.55°
With the nearest neighbours (Å) after each atom.
Space group P1 (No. 1)
Inequivalent atoms, fractional coordinates:
Li 0.0000 0.0000 0.0000 (multiplicity 1)  6 O 2.08-2.22
Li 0.0001 0.4951 0.4957 (multiplicity 1)  6 O 2.06-2.28
Li 0.2462 0.2448 0.2480 (multiplicity 1)  6 O 2.05-2.17
Li 0.2459 0.7478 0.7536 (multiplicity 1)  6 O 2.14-2.26
Li 0.4948 0.4939 0.4939 (multiplicity 1)  5 O 2.06-2.19
Li 0.4975 0.9996 0.9981 (multiplicity 1)  6 O 2.07-2.19
Li 0.7482 0.7462 0.7513 (multiplicity 1)  6 O 2.02-2.19
Li 0.7522 0.2437 0.2474 (multiplicity 1)  6 O 2.01-2.20
Co 0.0068 0.0010 0.4978 (multiplicity 1)  6 O 1.91-2.08
Co 0.2505 0.7454 0.2444 (multiplicity 1)  6 O 1.93-1.98
Co 0.4953 0.4943 0.0029 (multiplicity 1)  6 O 1.88-1.95
Co 0.5060 0.0000 0.4962 (multiplicity 1)  6 O 1.90-2.08
Co 0.7470 0.2447 0.7540 (multiplicity 1)  6 O 1.92-2.14
Co 0.9953 0.4958 0.0025 (multiplicity 1)  6 O 1.94-1.95
Ni 0.2450 0.2451 0.7504 (multiplicity 1)  6 O 2.04-2.09
Ni 0.7511 0.7474 0.2491 (multiplicity 1)  6 O 1.96-2.04
O 0.0038 0.5192 0.2361 (multiplicity 1)  2 Co 1.93-1.95, 1 Ni 1.98, 2 Li 2.14-2.16
O 0.0135 0.9777 0.2494 (multiplicity 1)  2 Co 1.93-2.07, 1 Ni 2.01, 2 Li 2.05-2.08
O 0.2401 0.2361 0.4985 (multiplicity 1)  2 Co 1.91-2.07, 3 Li 2.06-2.09, 1 Ni 2.09
O 0.2480 0.7212 0.0098 (multiplicity 1)  3 Co 1.95, 3 Li 2.14-2.18
O 0.2497 0.2795 0.0006 (multiplicity 1)  2 Co 1.88-1.94, 1 Li 2.07, 1 Ni 2.09
O 0.2604 0.7580 0.4821 (multiplicity 1)  3 Co 1.98-2.05, 2 Li 2.06-2.14
O 0.4871 0.5126 0.2304 (multiplicity 1)  2 Co 1.89-1.94, 1 Ni 2.04, 1 Li 2.09
O 0.4988 0.9706 0.2462 (multiplicity 1)  2 Co 1.93-2.08, 1 Ni 1.96, 2 Li 2.07-2.15
O 0.5064 0.0118 0.7449 (multiplicity 1)  2 Co 1.93-2.07, 1 Ni 2.04, 3 Li 2.09-2.14
O 0.5070 0.4844 0.7756 (multiplicity 1)  2 Co 1.89-1.98, 1 Ni 2.06, 1 Li 2.07
O 0.7368 0.2350 0.4962 (multiplicity 1)  2 Co 1.90-2.08, 2 Li 2.07
O 0.7429 0.2739 0.0063 (multiplicity 1)  3 Co 1.93-2.10, 2 Li 2.01-2.13
O 0.7433 0.7152 0.0084 (multiplicity 1)  2 Co 1.92-1.95, 1 Ni 2.01
O 0.7598 0.7547 0.4875 (multiplicity 1)  1 Ni 1.98, 2 Co 2.01-2.06, 3 Li 2.06-2.19
O 0.9822 0.0066 0.7445 (multiplicity 1)  2 Co 1.95-2.06, 3 Li 2.02-2.15, 1 Ni 2.05
O 0.9838 0.4774 0.7696 (multiplicity 1)  2 Co 1.92-1.94, 1 Ni 2.04, 1 Li 2.09

Summary:
For the energy above the most stable polymorph in this dataset, the calculation gives 0.050 eV per atom.